The following is a DFT calculation (PBE-GGA) of Sr3Y2Ge3O12 after structural relaxation.

Cell: 11.481 11.481 11.481 Å, 109.47 109.47 109.47°
Fractional coordinates of all 80 atoms:
O (0.590, 0.892, 0.380)
O (0.302, 0.892, 0.012)
Y (0.500, 0.500, 0.000)
O (0.710, 0.698, 0.090)
O (0.410, 0.108, 0.620)
O (0.392, 0.802, 0.512)
Ge (0.250, 0.125, 0.875)
Sr (0.125, 0.250, 0.375)
Sr (0.250, 0.375, 0.125)
O (0.012, 0.210, 0.120)
Y (0.500, 0.000, 0.500)
O (0.410, 0.802, 0.790)
O (0.392, 0.090, 0.880)
O (0.608, 0.910, 0.120)
O (0.108, 0.988, 0.698)
O (0.380, 0.590, 0.892)
O (0.290, 0.302, 0.910)
O (0.488, 0.608, 0.198)
Ge (0.750, 0.375, 0.625)
O (0.910, 0.290, 0.302)
O (0.620, 0.410, 0.108)
Sr (0.875, 0.750, 0.625)
Ge (0.375, 0.625, 0.750)
Y (0.000, 0.000, 0.000)
Ge (0.875, 0.125, 0.750)
O (0.698, 0.108, 0.988)
O (0.710, 0.512, 0.620)
Ge (0.875, 0.250, 0.125)
O (0.380, 0.290, 0.488)
O (0.802, 0.512, 0.392)
O (0.802, 0.790, 0.410)
Sr (0.625, 0.875, 0.750)
O (0.892, 0.012, 0.302)
O (0.880, 0.988, 0.790)
Sr (0.375, 0.750, 0.125)
Y (0.500, 0.000, 0.000)
O (0.210, 0.590, 0.198)
Y (0.000, 0.500, 0.000)
O (0.198, 0.210, 0.590)
O (0.698, 0.090, 0.710)
O (0.790, 0.410, 0.802)
Sr (0.250, 0.875, 0.625)
Sr (0.125, 0.375, 0.750)
O (0.892, 0.380, 0.590)
O (0.512, 0.620, 0.710)
O (0.090, 0.710, 0.698)
O (0.210, 0.120, 0.012)
O (0.120, 0.012, 0.210)
Ge (0.250, 0.625, 0.375)
O (0.488, 0.380, 0.290)
O (0.910, 0.120, 0.608)
Sr (0.625, 0.250, 0.875)
O (0.988, 0.698, 0.108)
O (0.290, 0.488, 0.380)
O (0.090, 0.880, 0.392)
O (0.012, 0.302, 0.892)
Ge (0.625, 0.375, 0.250)
O (0.590, 0.198, 0.210)
O (0.790, 0.880, 0.988)
O (0.620, 0.710, 0.512)
Ge (0.125, 0.750, 0.875)
O (0.108, 0.620, 0.410)
O (0.120, 0.608, 0.910)
Sr (0.875, 0.625, 0.250)
O (0.988, 0.790, 0.880)
Ge (0.125, 0.875, 0.250)
Y (0.500, 0.500, 0.500)
O (0.880, 0.392, 0.090)
Sr (0.750, 0.625, 0.875)
Y (0.000, 0.000, 0.500)
O (0.608, 0.198, 0.488)
Ge (0.375, 0.250, 0.625)
O (0.302, 0.910, 0.290)
Ge (0.750, 0.875, 0.125)
Sr (0.750, 0.125, 0.375)
Y (0.000, 0.500, 0.500)
O (0.198, 0.488, 0.608)
O (0.512, 0.392, 0.802)
Sr (0.375, 0.125, 0.250)
Ge (0.625, 0.750, 0.375)

Its electronic total energy is -144.5 eV/f.u.


The following is a DFT calculation (PBE-GGA) of Sr3Yb2Ge3O12 after structural relaxation.

Cell: 11.464 11.464 11.464 Å, 109.47 109.47 109.47°
Each line ends with the local moment (μB).
Fractional coordinates of all 80 atoms:
O (0.210, 0.590, 0.198)  0.06
Yb (0.000, 0.500, 0.500)  0.65
Sr (0.625, 0.875, 0.750)  0.00
O (0.790, 0.880, 0.987)  0.06
O (0.880, 0.987, 0.790)  0.06
O (0.710, 0.513, 0.620)  0.06
O (0.802, 0.790, 0.410)  0.06
O (0.590, 0.893, 0.380)  0.06
O (0.710, 0.698, 0.090)  0.06
O (0.910, 0.290, 0.302)  0.06
O (0.487, 0.607, 0.198)  0.06
O (0.880, 0.393, 0.090)  0.06
Yb (0.000, 0.500, 0.000)  0.65
Sr (0.625, 0.250, 0.875)  0.00
Sr (0.250, 0.875, 0.625)  0.00
O (0.893, 0.013, 0.302)  0.06
O (0.513, 0.620, 0.710)  0.06
Sr (0.750, 0.125, 0.375)  0.00
Sr (0.875, 0.750, 0.625)  0.00
O (0.893, 0.380, 0.590)  0.06
Sr (0.125, 0.250, 0.375)  0.00
O (0.620, 0.710, 0.513)  0.06
O (0.802, 0.513, 0.393)  0.06
O (0.607, 0.198, 0.487)  0.06
O (0.590, 0.198, 0.210)  0.06
Ge (0.250, 0.625, 0.375)  0.00
Yb (0.500, 0.000, 0.000)  0.65
O (0.790, 0.410, 0.802)  0.06
O (0.290, 0.487, 0.380)  0.06
O (0.198, 0.210, 0.590)  0.06
O (0.380, 0.590, 0.893)  0.06
O (0.013, 0.302, 0.893)  0.06
Sr (0.375, 0.750, 0.125)  0.00
O (0.393, 0.802, 0.513)  0.06
O (0.698, 0.107, 0.987)  0.06
O (0.910, 0.120, 0.607)  0.06
Ge (0.875, 0.250, 0.125)  0.00
O (0.107, 0.987, 0.698)  0.06
O (0.302, 0.893, 0.013)  0.06
O (0.393, 0.090, 0.880)  0.06
O (0.120, 0.607, 0.910)  0.06
Ge (0.375, 0.250, 0.625)  0.00
Yb (0.500, 0.000, 0.500)  0.65
Sr (0.125, 0.375, 0.750)  0.00
O (0.198, 0.487, 0.607)  0.06
O (0.090, 0.710, 0.698)  0.06
Ge (0.875, 0.125, 0.750)  0.00
O (0.302, 0.910, 0.290)  0.06
O (0.090, 0.880, 0.393)  0.06
O (0.107, 0.620, 0.410)  0.06
O (0.620, 0.410, 0.107)  0.06
Sr (0.750, 0.625, 0.875)  0.00
O (0.210, 0.120, 0.013)  0.06
O (0.607, 0.910, 0.120)  0.06
Ge (0.625, 0.375, 0.250)  0.00
Yb (0.000, 0.000, 0.500)  0.65
O (0.013, 0.210, 0.120)  0.06
O (0.698, 0.090, 0.710)  0.06
Yb (0.500, 0.500, 0.500)  0.65
Ge (0.125, 0.750, 0.875)  0.00
Yb (0.000, 0.000, 0.000)  0.65
O (0.120, 0.013, 0.210)  0.06
O (0.380, 0.290, 0.487)  0.06
Sr (0.375, 0.125, 0.250)  0.00
Ge (0.375, 0.625, 0.750)  0.00
Ge (0.250, 0.125, 0.875)  0.00
O (0.487, 0.380, 0.290)  0.06
Ge (0.125, 0.875, 0.250)  0.00
O (0.987, 0.698, 0.107)  0.06
Ge (0.750, 0.875, 0.125)  0.00
O (0.513, 0.393, 0.802)  0.06
O (0.410, 0.107, 0.620)  0.06
Sr (0.875, 0.625, 0.250)  0.00
O (0.410, 0.802, 0.790)  0.06
Sr (0.250, 0.375, 0.125)  0.00
O (0.290, 0.302, 0.910)  0.06
Yb (0.500, 0.500, 0.000)  0.65
O (0.987, 0.790, 0.880)  0.06
Ge (0.750, 0.375, 0.625)  0.00
Ge (0.625, 0.750, 0.375)  0.00

Its electronic total energy is -130.6 eV/f.u.


The following is a DFT calculation (PBE-GGA) of SrZnGeO4 after structural relaxation.

Cell: 5.468 5.754 6.615 Å, 90.00 105.46 90.00°
Fractional coordinates of all 14 atoms:
Zn (0.862, 0.750, 0.502)
O (0.483, 0.250, 0.438)
O (0.032, 0.975, 0.296)
O (0.382, 0.750, 0.102)
O (0.618, 0.250, 0.898)
Zn (0.138, 0.250, 0.498)
Sr (0.736, 0.750, 0.952)
O (0.032, 0.525, 0.296)
Ge (0.275, 0.750, 0.328)
Sr (0.264, 0.250, 0.048)
Ge (0.725, 0.250, 0.672)
O (0.517, 0.750, 0.562)
O (0.968, 0.025, 0.704)
O (0.968, 0.475, 0.704)

Its electronic total energy is -40.9 eV/f.u.


The following is a DFT calculation (PBE-GGA) of Sr2ZnGeO5 after structural relaxation.

Cell: 3.255 7.706 10.289 Å, 90.00 90.00 102.19°
Fractional coordinates of all 18 atoms:
O (0.501, 0.003, 0.792)
O (0.964, 0.927, 0.527)
Sr (0.134, 0.269, 0.311)
O (0.708, 0.415, 0.158)
O (0.292, 0.585, 0.658)
Sr (0.879, 0.759, 0.172)
Sr (0.866, 0.731, 0.811)
O (0.036, 0.073, 0.027)
O (0.499, 0.997, 0.292)
Zn (0.225, 0.449, 0.035)
O (0.329, 0.657, 0.389)
Zn (0.775, 0.551, 0.535)
Sr (0.121, 0.241, 0.672)
O (0.671, 0.343, 0.889)
Ge (0.441, 0.882, 0.441)
O (0.647, 0.293, 0.499)
O (0.353, 0.707, 0.999)
Ge (0.559, 0.118, 0.941)

Its electronic total energy is -52.8 eV/f.u.


The following is a DFT calculation (PBE-GGA) of Sr3ZnGe2O8 after structural relaxation.

Cell: 5.658 5.658 7.138 Å, 90.00 90.00 120.00°
Fractional coordinates of all 14 atoms:
O (0.335, 0.167, 0.687)
O (0.833, 0.665, 0.687)
Sr (0.667, 0.333, 0.353)
O (0.665, 0.833, 0.313)
O (0.667, 0.333, 0.031)
Sr (0.000, 0.000, 0.000)
Sr (0.333, 0.667, 0.647)
Ge (0.333, 0.667, 0.210)
O (0.167, 0.833, 0.313)
O (0.833, 0.167, 0.687)
O (0.167, 0.335, 0.313)
Zn (0.000, 0.000, 0.500)
Ge (0.667, 0.333, 0.790)
O (0.333, 0.667, 0.969)

Its electronic total energy is -86.3 eV/f.u.


The following is a DFT calculation (PBE-GGA) of SrZrGeO5 after structural relaxation.

Cell: 5.909 5.909 7.636 Å, 103.89 103.89 106.27°
Fractional coordinates of all 16 atoms:
O (0.075, 0.925, 0.250)
Ge (0.681, 0.319, 0.250)
O (0.748, 0.620, 0.411)
Zr (0.000, 0.000, 0.000)
O (0.380, 0.252, 0.089)
O (0.620, 0.748, 0.911)
O (0.111, 0.688, 0.885)
O (0.252, 0.380, 0.589)
O (0.312, 0.889, 0.615)
Sr (0.670, 0.330, 0.750)
Ge (0.319, 0.681, 0.750)
Zr (0.000, 0.000, 0.500)
O (0.925, 0.075, 0.750)
O (0.688, 0.111, 0.385)
O (0.889, 0.312, 0.115)
Sr (0.330, 0.670, 0.250)

Its electronic total energy is -61.3 eV/f.u.


The following is a DFT calculation (PBE-GGA) of TaGe3O after structural relaxation.

Cell: 5.015 5.015 5.015 Å, 90.00 90.00 90.00°
Each line ends with the local moment (μB).
Fractional coordinates of all 5 atoms:
Ge (0.500, 0.000, 0.000)  0.02
Ge (0.000, 0.000, 0.500)  -0.01
Ge (0.000, 0.500, 0.000)  0.01
O (0.500, 0.500, 0.500)  1.13
Ta (0.000, 0.000, 0.000)  0.23

Its electronic total energy is -26.6 eV/f.u. The relative energy among the computed polymorphs comes out at 0.692 eV/atom.


The following is a DFT calculation (PBE-GGA) of TaGeO3 after structural relaxation.

Cell: 3.786 3.786 3.786 Å, 90.00 90.00 90.00°
Each line ends with the local moment (μB).
Fractional coordinates of all 5 atoms:
O (0.000, 0.500, 0.000)  0.00
Ta (0.500, 0.500, 0.500)  2.01
O (0.500, 0.000, 0.000)  0.00
Ge (0.000, 0.000, 0.000)  0.00
O (0.000, 0.000, 0.500)  0.02

Its electronic total energy is -33.8 eV/f.u.


The following is a DFT calculation (PBE-GGA) of TaGeO2 after structural relaxation.

Cell: 6.036 6.036 6.193 Å, 60.84 60.84 90.00°
Fractional coordinates of all 8 atoms:
O (0.875, 0.122, 0.750)
Ge (0.500, 0.500, 0.000)
Ta (0.000, 0.000, 0.000)
O (0.375, 0.128, 0.750)
O (0.878, 0.625, 0.250)
Ge (0.250, 0.750, 0.500)
O (0.872, 0.125, 0.250)
Ta (0.750, 0.250, 0.500)

Its electronic total energy is -31.2 eV/f.u.


The following is a DFT calculation (PBE-GGA) of TaGe3O9 after structural relaxation.

Cell: 7.058 7.928 8.784 Å, 75.12 66.31 63.57°
Each line ends with the local moment (μB).
Fractional coordinates of all 26 atoms:
O (0.325, 0.198, 0.351)  0.02
Ge (0.455, 0.739, 0.221)  -0.01
O (0.328, 0.318, 0.885)  0.04
O (0.126, 0.698, 0.851)  0.02
O (0.057, 0.548, 0.525)  0.03
O (0.783, 0.997, 0.371)  0.37
Ta (0.040, 0.494, 0.005)  -0.03
O (0.179, 0.046, 0.682)  0.04
O (0.455, 0.512, 0.269)  0.01
O (0.717, 0.400, 0.638)  0.01
Ge (0.996, 0.943, 0.836)  0.00
Ge (0.796, 0.564, 0.676)  0.00
O (0.092, 0.546, 0.182)  0.04
O (0.600, 0.791, 0.656)  0.03
Ta (0.461, 0.994, 0.505)  -0.03
O (0.870, 0.048, 0.025)  0.03
Ge (0.964, 0.064, 0.176)  0.00
O (0.765, 0.012, 0.769)  0.01
Ge (0.225, 0.443, 0.336)  0.00
O (0.954, 0.291, 0.156)  0.03
O (0.849, 0.497, 0.871)  0.37
O (0.245, 0.900, 0.138)  0.01
O (0.722, 0.708, 0.064)  0.40
Ge (0.584, 0.239, 0.721)  -0.01
O (0.470, 0.818, 0.385)  0.04
O (0.506, 0.208, 0.564)  0.40

Its electronic total energy is -93.2 eV/f.u.


The following is a DFT calculation (PBE-GGA) of TaGeO2 after structural relaxation.

Cell: 7.276 7.276 7.276 Å, 23.03 23.03 23.03°
Fractional coordinates of all 4 atoms:
Ta (0.500, 0.500, 0.500)
O (0.895, 0.895, 0.895)
Ge (0.000, 0.000, 0.000)
O (0.105, 0.105, 0.105)

Its electronic total energy is -32.6 eV/f.u.


The following is a DFT calculation (PBE-GGA) of TaGeO3 after structural relaxation.

Cell: 3.990 3.990 3.990 Å, 90.00 90.00 90.00°
Fractional coordinates of all 5 atoms:
Ta (0.000, 0.000, 0.000)
O (0.500, 0.000, 0.000)
Ge (0.500, 0.500, 0.500)
O (0.000, 0.000, 0.500)
O (0.000, 0.500, 0.000)

Its electronic total energy is -40.3 eV/f.u.


Number 1: formation energy (no corrections) -2.661 eV per atom. Number 2: formation energy (no corrections) -2.458 eV per atom. Number 3: formation energy (no corrections) -1.934 eV per atom. Number 4: formation energy (no corrections) -2.085 eV per atom. Number 5: formation energy (no corrections) -2.219 eV per atom. Number 6: formation energy (no corrections) -2.714 eV per atom. Number 7: formation energy (no corrections) 0.819 eV per atom. Number 8: formation energy (no corrections) -0.495 eV per atom. Number 9: formation energy (no corrections) -1.199 eV per atom. Number 10: formation energy (no corrections) -1.760 eV per atom. Number 11: formation energy (no corrections) -1.555 eV per atom. Number 12: formation energy (no corrections) -1.782 eV per atom.